{"formula": "YAsRu2", "functional": "PBE", "state": "relaxed", "density_g_cm3": 8.58, "ef_ev_per_atom": 0.078, "e_tot_ev_per_atom": -7.338, "spacegroup": "F-43m", "cell": [[0.0000, 3.2838, 3.2838], [3.2838, 0.0000, 3.2838], [3.2838, 3.2838, 0.0000]], "species": ["Y", "As", "Ru", "Ru"], "frac_coords": [[0.0000, 0.0000, 0.0000], [0.7500, 0.7500, 0.7500], [0.2500, 0.2500, 0.2500], [0.5000, 0.5000, 0.5000]]}

---

{"formula": "ZrCuTcO6", "functional": "PBE", "state": "relaxed", "density_g_cm3": 5.48, "e_tot_ev_per_atom": -7.523, "spacegroup": "P-31c", "e_form_raw_ev_per_atom": -1.661, "cell": [[5.2311, 0.0000, 0.0000], [-2.6155, 4.5302, 0.0000], [0.0000, 0.0000, 8.9190]], "species": ["Zr", "Zr", "Cu", "Cu", "Tc", "Tc", "O", "O", "O", "O", "O", "O", "O", "O", "O", "O", "O", "O"], "frac_coords": [[0.3333, 0.6667, 0.2500], [0.6667, 0.3333, 0.7500], [0.0000, 0.0000, 0.0000], [0.0000, 0.0000, 0.5000], [0.3333, 0.6667, 0.7500], [0.6667, 0.3333, 0.2500], [0.0263, 0.3613, 0.6292], [0.0263, 0.6650, 0.8708], [0.3350, 0.3613, 0.8708], [0.3350, 0.9737, 0.6292], [0.3613, 0.0263, 0.1292], [0.3613, 0.3350, 0.3708], [0.6387, 0.6650, 0.6292], [0.6387, 0.9737, 0.8708], [0.6650, 0.0263, 0.3708], [0.6650, 0.6387, 0.1292], [0.9737, 0.3350, 0.1292], [0.9737, 0.6387, 0.3708]]}

---

Number 1: total moment 0.655 μB per atom. Number 2: total moment 0.000 μB per atom.